5
Lattice="4.530 0.000 0.000 0.000 4.530 0.000 0.000 0.000 4.924" Properties=species:S:1:pos:R:3 comment="FeSCl2F PBE+U relaxed" total_magnetization_mub_per_atom=0.600 polymorph_energy_ev_per_fu=0.00 pbc="T T T"
Fe 0.000 0.000 0.000
S 0.000 0.000 2.462
Cl 0.000 2.265 0.000
Cl 2.265 0.000 0.000
F 2.265 2.265 2.462